<1>
Density functional theory data (PBE) for a relaxed Ta2POs2 crystal.

Output
The density of states at the Fermi level is 5.87 states/eV/cell.

The structure in CIF format:
```
data_Ta2POs2
_chemical_formula_sum 'Ta4 P2 Os4'
_symmetry_space_group_name_H-M 'I 4/m m m'
_symmetry_Int_Tables_number 139
_symmetry_space_group_name_Hall '-I 4 2'
_cell_length_a 3.782
_cell_length_b 3.782
_cell_length_c 13.127
_cell_angle_alpha 90.00
_cell_angle_beta 90.00
_cell_angle_gamma 90.00
loop_
_atom_site_label
_atom_site_fract_x
_atom_site_fract_y
_atom_site_fract_z
Ta1 0.000 0.000 0.116
P1 0.000 0.000 0.500
Os1 0.000 0.500 0.250
```

=====

<2>
Density functional theory data (PBE) for a relaxed Ta2POs2 crystal.

Output
The density of states at the Fermi level is 5.86 states/eV/cell.

The structure in CIF format:
```
data_Ta2POs2
_chemical_formula_sum 'Ta4 P2 Os4'
_symmetry_space_group_name_H-M 'P 4/m b m'
_symmetry_Int_Tables_number 127
_symmetry_space_group_name_Hall '-P 4 2ab'
_cell_length_a 7.561
_cell_length_b 7.561
_cell_length_c 3.012
_cell_angle_alpha 90.00
_cell_angle_beta 90.00
_cell_angle_gamma 90.00
loop_
_atom_site_label
_atom_site_fract_x
_atom_site_fract_y
_atom_site_fract_z
Ta1 0.158 0.342 0.000
P1 0.000 0.000 0.000
Os1 0.136 0.636 0.500
```

=====

Stability ranking, top and bottom: <2> is the most stable and <1> is the least stable.